No. 1
DFT (PBE) results for an optimized crystal structure of Pr13Ru2.

extended XYZ file:
```
15
Lattice="6.7218 0.0000 0.0000 1.1337 8.3494 0.0000 0.9930 4.0180 9.1023" Properties=species:S:1:pos:R:3 pbc="T T T"
Pr 0.0000 0.0000 0.0000
Pr 1.8124 9.6041 6.1580
Pr 2.2395 7.1268 3.4303
Pr 2.2457 4.8088 0.5002
Pr 3.2821 6.2565 7.0309
Pr 3.6617 3.7122 4.0326
Pr 3.2960 1.2644 1.3542
Pr 5.5525 11.1030 7.7481
Pr 5.1868 8.6552 5.0697
Pr 5.5664 6.1109 2.0713
Pr 6.6028 7.5586 8.6021
Pr 6.6089 5.2406 5.6719
Pr 7.0361 2.7633 2.9443
Ru 2.1119 3.7128 6.4213
Ru 6.7366 8.6547 2.6810
```

Calculated values
Formation enthalpy at 0 K = -0.287 eV/f.u.
Crystal system = triclinic
Mass density = 6.61 Mg/m³
Volume = 34.06 Å³ per atom
Fermi-level density of states = 22.45 states/eV/cell
Space-group type = No. 2

***

No. 2
DFT (PBE) results for an optimized crystal structure of BeReB.

extended XYZ file:
```
12
Lattice="5.0787 0.0000 0.0000 0.0000 4.2076 0.0000 -1.9964 0.0000 5.2689" Properties=species:S:1:pos:R:3 pbc="T T T"
Be 0.0279 0.4684 1.0428
Be -0.9703 1.6354 3.6772
Be 4.0526 2.5722 1.5916
Be 3.0544 3.7392 4.2261
Re 1.3420 2.5686 0.6148
Re 0.3438 3.7428 3.2492
Re 2.7385 0.4648 2.0196
Re 1.7403 1.6390 4.6541
B -0.2510 0.4965 5.2051
B 0.7473 1.6073 2.5707
B 2.3350 2.6003 2.6982
B 3.3333 3.7111 0.0638
```

Calculated values
Formation enthalpy at 0 K = -0.884 eV/f.u.
Crystal system = monoclinic
Mass density = 12.15 Mg/m³
Volume = 9.38 Å³ per atom
Fermi-level density of states = 2.04 states/eV/cell
Space-group type = No. 14

***

No. 3
DFT (PBE) results for an optimized crystal structure of AlPtSe2.

extended XYZ file:
```
4
Lattice="2.6713 -3.8488 0.0000 2.6713 3.8488 0.0000 0.0000 0.0000 3.8555" Properties=species:S:1:pos:R:3 pbc="T T T"
Al 0.0000 0.0000 0.0000
Pt 2.6713 0.0000 0.0000
Se 2.6713 1.6918 1.9277
Se 2.6713 -1.6918 1.9277
```

Calculated values
Crystal system = orthorhombic
Mass density = 7.96 Mg/m³
Volume = 19.82 Å³ per atom
Fermi-level density of states = 2.41 states/eV/cell
Uncorrected formation energy = -0.205 eV/atom
Space-group type = No. 65

***

No. 4
DFT (PBE) results for an optimized crystal structure of W2Se.

extended XYZ file:
```
6
Lattice="4.6622 0.0000 0.0000 -2.3311 4.0376 0.0000 0.0000 0.0000 5.2283" Properties=species:S:1:pos:R:3 pbc="T T T"
W 0.0000 0.0000 0.0000
W 0.0000 0.0000 2.6142
W 0.0000 2.6917 1.3071
W 2.3311 1.3458 3.9213
Se 0.0000 2.6917 3.9213
Se 2.3311 1.3458 1.3071
```

Calculated values
Crystal system = hexagonal
Mass density = 15.07 Mg/m³
Volume = 16.40 Å³ per atom
Fermi-level density of states = 6.35 states/eV/cell
Uncorrected formation energy = 0.924 eV/atom
Space-group type = No. 194

***

No. 5
DFT (PBE) results for an optimized crystal structure of Nd3SmY4.

extended XYZ file:
```
16
Lattice="11.5947 0.0000 0.0000 0.0000 7.3661 0.0000 0.0000 0.0000 6.3587" Properties=species:S:1:pos:R:3 pbc="T T T"
Nd 0.0000 0.9247 0.0000
Nd 2.8974 0.9277 2.0995
Nd 2.9000 6.4384 5.2788
Nd 5.7974 6.4415 3.1794
Nd 8.6974 0.9277 2.0995
Nd 8.6947 6.4384 5.2788
Sm 0.0000 6.4308 3.1787
Sm 5.7974 0.9353 6.3581
Y 0.0000 2.7770 3.1621
Y 0.0000 4.5870 6.3450
Y 2.9036 2.7769 5.2943
Y 2.8938 4.5892 2.1149
Y 5.7974 2.7791 3.1656
Y 5.7974 4.5891 6.3415
Y 8.6911 2.7769 5.2943
Y 8.7009 4.5892 2.1149
```

Calculated values
Formation enthalpy at 0 K = 0.164 eV/f.u.
Crystal system = orthorhombic
Mass density = 5.74 Mg/m³
Volume = 33.94 Å³ per atom
Fermi-level density of states = 30.57 states/eV/cell
Space-group type = No. 31

***

No. 6
DFT (PBE) results for an optimized crystal structure of TlWSe2Br.

extended XYZ file:
```
5
Lattice="4.9374 0.0000 0.0000 0.0000 4.9374 0.0000 0.0000 0.0000 5.5218" Properties=species:S:1:pos:R:3 pbc="T T T"
Tl 0.0000 0.0000 0.0000
W 2.4687 2.4687 2.7609
Se 0.0000 2.4687 2.7609
Se 2.4687 0.0000 2.7609
Br 2.4687 2.4687 0.0000
```

Calculated values
Crystal system = tetragonal
Mass density = 7.72 Mg/m³
Volume = 26.92 Å³ per atom
Fermi-level density of states = 3.76 states/eV/cell
Uncorrected formation energy = -0.057 eV/atom
Space-group type = No. 123

***

No. 7
DFT (PBE) results for an optimized crystal structure of Zr4Sc5.

extended XYZ file:
```
9
Lattice="-4.8312 4.8312 2.2676 4.8312 -4.8312 2.2676 4.8312 4.8312 -2.2676" Properties=species:S:1:pos:R:3 pbc="T T T"
Zr 1.6157 1.6157 0.0000
Zr 3.2156 -3.2156 2.2676
Zr -3.2156 3.2156 2.2676
Zr 3.2156 3.2156 2.2676
Sc 4.8312 1.6721 0.0000
Sc 1.6721 4.8312 0.0000
Sc 0.0000 0.0000 2.2676
Sc 3.1592 0.0000 2.2676
Sc 0.0000 3.1592 2.2676
```

Calculated values
Formation enthalpy at 0 K = 0.138 eV/f.u.
Crystal system = tetragonal
Mass density = 4.62 Mg/m³
Volume = 23.52 Å³ per atom
Fermi-level density of states = 13.70 states/eV/cell
Space-group type = No. 139

***

No. 8
DFT (PBE) results for an optimized crystal structure of AlBiO.

extended XYZ file:
```
3
Lattice="3.1533 0.0000 0.0000 0.0000 5.5349 0.0000 0.0000 0.0000 3.3858" Properties=species:S:1:pos:R:3 pbc="T T T"
Al 0.0000 0.0000 0.0000
Bi 0.0000 2.7674 0.9785
O 1.5767 0.0000 2.6322
```

Calculated values
Crystal system = orthorhombic
Mass density = 7.08 Mg/m³
Volume = 19.70 Å³ per atom
Fermi-level density of states = 0.74 states/eV/cell
Uncorrected formation energy = -1.140 eV/atom
Space-group type = No. 25

***

No. 9
DFT (PBE) results for an optimized crystal structure of AcAgI4.

extended XYZ file:
```
6
Lattice="7.7975 0.0000 0.0000 0.0000 4.6445 0.0000 -0.4396 0.0000 7.8132" Properties=species:S:1:pos:R:3 pbc="T T T"
Ac 0.0000 0.0000 0.0000
Ag -0.2198 2.3223 3.9066
I 1.3929 0.0000 5.1290
I 1.9191 2.3223 1.3203
I 5.4388 2.3223 6.4929
I 5.9649 0.0000 2.6842
```

Calculated values
Crystal system = monoclinic
Mass density = 4.94 Mg/m³
Volume = 47.16 Å³ per atom
Fermi-level density of states = 0.00 states/eV/cell
Uncorrected formation energy = -1.059 eV/atom
Space-group type = No. 10

***

No. 10
DFT (PBE) results for an optimized crystal structure of Li2TaBe.

extended XYZ file:
```
8
Lattice="-3.3946 3.3946 2.4572 3.3946 -3.3946 2.4572 3.3946 3.3946 -2.4572" Properties=species:S:1:pos:R:3 pbc="T T T"
Li 5.0920 1.3886 -0.6143
Li 1.3886 1.6973 0.6143
Li -1.6973 2.0061 1.8429
Li 2.0061 1.6973 3.0715
Ta 3.3946 0.0000 1.2286
Ta 0.0000 0.0000 2.4572
Be 0.0000 0.0000 0.0000
Be 0.0000 3.3946 1.2286
```

Calculated values
Formation enthalpy at 0 K = 3.325 eV/f.u.
Crystal system = tetragonal
Mass density = 5.98 Mg/m³
Volume = 14.16 Å³ per atom
Fermi-level density of states = 7.28 states/eV/cell
Space-group type = No. 122

***

No. 11
DFT (PBE) results for an optimized crystal structure of TbMnSn.

extended XYZ file:
```
6
Lattice="-2.1621 2.1621 7.5305 2.1621 -2.1621 7.5305 2.1621 2.1621 -7.5305" Properties=species:S:1:pos:R:3 pbc="T T T"
Tb 0.0000 0.0000 2.4801
Tb 0.0000 0.0000 12.5808
Mn 2.1621 0.0000 0.0000
Mn 0.0000 2.1621 0.0000
Sn 0.0000 0.0000 5.7127
Sn 0.0000 0.0000 9.3483
```

Calculated values
Formation enthalpy at 0 K = -0.910 eV/f.u.
Crystal system = tetragonal
Mass density = 7.84 Mg/m³
Volume = 23.47 Å³ per atom
Fermi-level density of states = 7.23 states/eV/cell
Space-group type = No. 139

***

No. 12
DFT (PBE) results for an optimized crystal structure of BeCdIr2.

extended XYZ file:
```
4
Lattice="0.0000 3.0692 3.0692 3.0692 0.0000 3.0692 3.0692 3.0692 0.0000" Properties=species:S:1:pos:R:3 pbc="T T T"
Be 0.0000 0.0000 0.0000
Cd 3.0692 3.0692 3.0692
Ir 1.5346 1.5346 1.5346
Ir 4.6038 4.6038 4.6038
```

Calculated values
Formation enthalpy at 0 K = 0.912 eV/f.u.
Crystal system = cubic
Mass density = 14.53 Mg/m³
Volume = 14.46 Å³ per atom
Fermi-level density of states = 3.85 states/eV/cell
Space-group type = No. 225

***

Copy entry 10 word for word.
DFT (PBE) results for an optimized crystal structure of Li2TaBe.

extended XYZ file:
```
8
Lattice="-3.3946 3.3946 2.4572 3.3946 -3.3946 2.4572 3.3946 3.3946 -2.4572" Properties=species:S:1:pos:R:3 pbc="T T T"
Li 5.0920 1.3886 -0.6143
Li 1.3886 1.6973 0.6143
Li -1.6973 2.0061 1.8429
Li 2.0061 1.6973 3.0715
Ta 3.3946 0.0000 1.2286
Ta 0.0000 0.0000 2.4572
Be 0.0000 0.0000 0.0000
Be 0.0000 3.3946 1.2286
```

Calculated values
Formation enthalpy at 0 K = 3.325 eV/f.u.
Crystal system = tetragonal
Mass density = 5.98 Mg/m³
Volume = 14.16 Å³ per atom
Fermi-level density of states = 7.28 states/eV/cell
Space-group type = No. 122

***

- Among the records above, which one has the highest Fermi-level density of states?
  Nd3SmY4

***

- The highest mass density belongs to which entry?
  W2Se